This record from Alexandria describes BaNaN4 after structural relaxation. The functional is PBE-GGA.

Properties
Energy relative to the elements, uncorrected in meV per atom: -237.4
SG: I4_1/amd, No. 141
Total magnetic moment in μB/f.u.: 0.2

a = 5.5231 Å, b = 5.5231 Å, c = 8.5011 Å
α = 108.96°, β = 108.96°, γ = 90.00°
Positions (direct):
N  0.6812  0.5406  0.8624
N  0.1782  0.8188  0.6376
Ba  0.1250  0.3750  0.7500
N  0.3188  0.4594  0.1376
N  0.3188  0.6782  0.1376
N  0.8218  0.1812  0.3624
N  0.6812  0.3218  0.8624
Ba  0.8750  0.6250  0.2500
N  0.9594  0.8188  0.6376
Na  0.3750  0.1250  0.2500
Na  0.6250  0.8750  0.7500
N  0.0406  0.1812  0.3624